Material: HoTa3O9
Method: DFT, GGA-PBEsol
State: relaxed

The structure in POSCAR format:
```
HoTa3O9
1.0
6.371 0.000 0.000
0.000 7.555 0.000
0.000 0.000 12.407
Ho Ta O
4 12 36
direct
0.059 0.250 0.034
0.441 0.750 0.534
0.559 0.250 0.466
0.941 0.750 0.966
0.000 0.000 0.500
0.000 0.500 0.500
0.195 0.003 0.789
0.195 0.497 0.789
0.305 0.503 0.289
0.305 0.997 0.289
0.500 0.000 0.000
0.500 0.500 0.000
0.695 0.003 0.711
0.695 0.497 0.711
0.805 0.503 0.211
0.805 0.997 0.211
0.009 0.050 0.658
0.009 0.450 0.658
0.075 0.750 0.530
0.113 0.042 0.168
0.113 0.458 0.168
0.149 0.250 0.837
0.198 0.750 0.811
0.201 0.532 0.965
0.201 0.968 0.965
0.299 0.032 0.465
0.299 0.468 0.465
0.302 0.250 0.311
0.351 0.750 0.337
0.387 0.542 0.668
0.387 0.958 0.668
0.425 0.250 0.030
0.491 0.550 0.158
0.491 0.950 0.158
0.509 0.050 0.842
0.509 0.450 0.842
0.575 0.750 0.970
0.613 0.042 0.332
0.613 0.458 0.332
0.649 0.250 0.663
0.698 0.750 0.689
0.701 0.532 0.535
0.701 0.968 0.535
0.799 0.032 0.035
0.799 0.468 0.035
0.802 0.250 0.189
0.851 0.750 0.163
0.887 0.542 0.832
0.887 0.958 0.832
0.925 0.250 0.470
0.991 0.550 0.342
0.991 0.950 0.342
```

**Formation energy without anion corrections**: -3057 meV per atom
**Size of the total moment**: 0.000 μB/cell
**Total DFT energy (no corrections)**: -9.968 eV/atom